Entry 1:
Compound: La4HgPtI2
Source: Alexandria via LeMat-Bulk
Functional: PBE-GGA
Structure: optimized geometry Values from VASP.

E: -4.58 eV/atom
ΔE_f (raw): -0.939 eV per atom
Fermi-level density of states: 8.52 states/eV per cell
Total moment: 0.0 μB/f.u.

```
&SYSTEM
  ibrav = 0, nat = 8, ntyp = 4
/
ATOMIC_SPECIES
La 138.91 La.upf
Hg 200.59 Hg.upf
Pt 195.08 Pt.upf
I 126.90 I.upf
CELL_PARAMETERS angstrom
4.366 0.000 0.000
0.000 8.397 -0.443
0.000 2.681 7.314
ATOMIC_POSITIONS crystal
La 0.000 0.700 0.779
La 0.000 0.300 0.221
La 0.500 0.716 0.235
La 0.500 0.284 0.765
Hg 0.000 0.500 0.500
Pt 0.500 0.500 0.000
I 0.000 0.000 0.000
I 0.500 0.000 0.500
```

Entry 2:
Compound: La8HgRh3I4
Source: Alexandria via LeMat-Bulk
Functional: PBE-GGA
Structure: optimized geometry Values from VASP.

E: -5.20 eV/atom
ΔE_f (raw): -0.947 eV per atom
Fermi-level density of states: 11.94 states/eV per cell
Total moment: 0.0 μB/f.u.

```
&SYSTEM
  ibrav = 0, nat = 16, ntyp = 4
/
ATOMIC_SPECIES
La 138.91 La.upf
Hg 200.59 Hg.upf
Rh 102.91 Rh.upf
I 126.90 I.upf
CELL_PARAMETERS angstrom
-8.208 -2.100 1.823
0.705 -7.722 -5.721
5.823 0.670 6.389
ATOMIC_POSITIONS crystal
La 0.241 0.689 0.949
La 0.241 0.689 0.481
La 0.269 0.308 0.538
La 0.707 0.689 0.949
La 0.293 0.311 0.051
La 0.731 0.692 0.462
La 0.759 0.311 0.519
La 0.759 0.311 0.051
Hg 0.000 0.500 0.000
Rh 0.500 0.500 0.000
Rh 0.500 0.500 0.500
Rh 0.000 0.500 0.500
I 0.500 0.000 0.000
I 0.500 0.000 0.500
I 0.000 0.000 0.000
I 0.000 0.000 0.500
```

Entry 3:
Compound: LaHg2RhI
Source: Alexandria via LeMat-Bulk
Functional: PBE-GGA
Structure: optimized geometry Values from VASP.

E: -3.48 eV/atom
ΔE_f (raw): -0.589 eV per atom
Fermi-level density of states: 2.71 states/eV per cell
Total moment: 0.0 μB/f.u.

```
&SYSTEM
  ibrav = 0, nat = 5, ntyp = 4
/
ATOMIC_SPECIES
I 126.90 I.upf
Rh 102.91 Rh.upf
Hg 200.59 Hg.upf
La 138.91 La.upf
CELL_PARAMETERS angstrom
-1.711 4.560 2.203
-5.016 -1.846 -0.074
0.691 -2.071 4.822
ATOMIC_POSITIONS crystal
I 0.500 0.500 0.500
Rh 0.000 0.000 0.000
Hg 0.000 0.500 0.000
Hg 0.500 0.000 0.000
La 0.000 0.000 0.500
```

Entry 4:
Compound: La8HgRu3I4
Source: Alexandria via LeMat-Bulk
Functional: PBE-GGA
Structure: optimized geometry Values from VASP.

E: -5.40 eV/atom
ΔE_f (raw): -0.795 eV per atom
Fermi-level density of states: 6.59 states/eV per cell
Total moment: 0.0 μB/f.u.

```
&SYSTEM
  ibrav = 0, nat = 16, ntyp = 4
/
ATOMIC_SPECIES
La 138.91 La.upf
Hg 200.59 Hg.upf
Ru 101.07 Ru.upf
I 126.90 I.upf
CELL_PARAMETERS angstrom
8.619 0.000 0.000
0.000 9.601 0.698
-4.310 -4.310 6.092
ATOMIC_POSITIONS crystal
La 0.241 0.686 0.944
La 0.241 0.686 0.483
La 0.270 0.309 0.539
La 0.703 0.686 0.944
La 0.297 0.314 0.056
La 0.730 0.691 0.461
La 0.759 0.314 0.517
La 0.759 0.314 0.056
Hg 0.000 0.500 0.000
Ru 0.500 0.500 0.000
Ru 0.500 0.500 0.500
Ru 0.000 0.500 0.500
I 0.500 0.000 0.000
I 0.500 0.000 0.500
I 0.000 0.000 0.000
I 0.000 0.000 0.500
```

Entry 5:
Compound: La4HgSeI2
Source: Alexandria via LeMat-Bulk
Functional: PBE-GGA
Structure: optimized geometry Values from VASP.

E: -4.44 eV/atom
ΔE_f (raw): -1.118 eV per atom
Fermi-level density of states: 6.95 states/eV per cell
Total moment: 0.0 μB/f.u.

```
&SYSTEM
  ibrav = 0, nat = 8, ntyp = 4
/
ATOMIC_SPECIES
La 138.91 La.upf
Hg 200.59 Hg.upf
Se 78.96 Se.upf
I 126.90 I.upf
CELL_PARAMETERS angstrom
-1.927 -2.132 -3.352
-3.897 -4.383 5.027
-4.484 6.628 -1.638
ATOMIC_POSITIONS crystal
La 0.500 0.252 0.223
La 0.500 0.748 0.777
La 0.000 0.275 0.786
La 0.000 0.725 0.214
Hg 0.000 0.000 0.000
Se 0.500 0.500 0.000
I 0.500 0.000 0.500
I 0.000 0.500 0.500
```

Entry 6:
Compound: La8HgSe3I4
Source: Alexandria via LeMat-Bulk
Functional: PBE-GGA
Structure: optimized geometry Values from VASP.

E: -4.85 eV/atom
ΔE_f (raw): -1.324 eV per atom
Fermi-level density of states: 12.00 states/eV per cell
Total moment: 0.0 μB/f.u.

```
&SYSTEM
  ibrav = 0, nat = 16, ntyp = 4
/
ATOMIC_SPECIES
La 138.91 La.upf
Hg 200.59 Hg.upf
Se 78.96 Se.upf
I 126.90 I.upf
CELL_PARAMETERS angstrom
8.776 0.000 0.000
0.000 9.291 0.358
-4.388 -4.384 6.208
ATOMIC_POSITIONS crystal
La 0.244 0.712 0.969
La 0.243 0.712 0.485
La 0.266 0.297 0.531
La 0.725 0.712 0.969
La 0.275 0.288 0.031
La 0.734 0.703 0.469
La 0.757 0.288 0.515
La 0.756 0.288 0.031
Hg 0.000 0.500 0.000
Se 0.500 0.500 0.000
Se 0.500 0.500 0.500
Se 0.000 0.500 0.500
I 0.500 0.000 0.000
I 0.500 0.000 0.500
I 0.000 0.000 0.000
I 0.000 0.000 0.500
```